This record from the Alexandria database describes a relaxed KMnGaO4 crystal. The functional is GGA+U.

Summary:
**Density of states at the Fermi level**: 0.2 states/eV/cell
**Magnetic moment**: 6.00 μB/cell
**Uncorrected energy**: -82.93 eV per cell

Cell lengths 5.413, 5.497, 7.861 Å; angles 90.00, 119.42, 90.00 degrees
Site moments in Bohr magnetons follow the coordinates.
Element x y z (fractional)
O (0.033, 0.478, 0.666)  -0.15
O (0.566, 0.250, 0.796)  -0.07
Mn (0.193, 0.250, 0.549)  3.50
O (0.967, 0.978, 0.334)  -0.15
O (0.033, 0.022, 0.666)  -0.15
O (0.415, 0.250, 0.427)  -0.17
O (0.967, 0.522, 0.334)  -0.15
K (0.458, 0.250, 0.106)  0.00
K (0.542, 0.750, 0.894)  0.00
O (0.434, 0.750, 0.204)  -0.07
O (0.585, 0.750, 0.573)  -0.17
Ga (0.236, 0.750, 0.338)  0.03
Ga (0.764, 0.250, 0.662)  0.03
Mn (0.807, 0.750, 0.451)  3.50